1.
# LiIr2Au

A geometry-optimized LiIr2Au structure (GGA-PBE, OQMD via LeMat-Bulk).

Computed properties:
DFT total energy	-5.548	eV per atom
symmetry	F-43m (216)

Cell: 4.3809 4.3809 4.3809 Å, 60.00 60.00 60.00°
Sites, in units of the cell vectors:
Li1 0.5000 0.5000 0.5000
Ir1 0.0000 0.0000 0.0000
Ir2 0.7500 0.7500 0.7500
Au1 0.2500 0.2500 0.2500

=====

2.
# LuBeCoB

A geometry-optimized LuBeCoB structure (GGA-PBE, OQMD via LeMat-Bulk).

Computed properties:
offset from the most stable computed form	0.3226	eV/atom
DFT total energy	-5.109	eV per atom
symmetry	F-43m (216)

Cell: 4.0588 4.0588 4.0588 Å, 60.00 60.00 60.00°
Sites, in units of the cell vectors:
Lu1 0.5000 0.5000 0.5000
B1 0.0000 0.0000 0.0000
Be1 0.2500 0.2500 0.2500
Co1 0.7500 0.7500 0.7500

=====

no.,calculated volume (Å³/cell)
1,59.5
2,47.3